(1)
{"formula": "HfZnAu4", "functional": "GGA-PBE", "state": "relaxed", "lattice_angstrom": [[4.686, -1.817, 0.000], [4.686, 1.817, 0.000], [-2.159, 0.000, 6.327]], "species": ["Hf", "Zn", "Au", "Au", "Au", "Au"], "fractional_positions": [[0.000, 0.000, 0.000], [0.000, 0.000, 0.500], [0.331, 0.331, 0.171], [0.347, 0.347, 0.662], [0.653, 0.653, 0.338], [0.669, 0.669, 0.829]], "formation_enthalpy_0k_ev_per_atom": -0.377, "final_energy_ev_per_atom": -4.433, "space_group": "No. 12", "dos_ef_per_ev_cell": 1.86, "e_above_lowest_polymorph_mev_per_atom": 0.0}

(2)
{"formula": "HfZn3Au", "functional": "GGA-PBE", "state": "relaxed", "lattice_angstrom": [[8.992, 0.000, 0.000], [0.000, 3.143, 0.000], [0.000, 0.000, 12.178]], "species": ["Hf", "Hf", "Hf", "Hf", "Zn", "Zn", "Zn", "Zn", "Zn", "Zn", "Zn", "Zn", "Zn", "Zn", "Zn", "Zn", "Au", "Au", "Au", "Au"], "fractional_positions": [[0.143, 0.250, 0.023], [0.357, 0.750, 0.523], [0.643, 0.250, 0.477], [0.857, 0.750, 0.977], [0.109, 0.250, 0.418], [0.114, 0.750, 0.233], [0.120, 0.750, 0.824], [0.380, 0.250, 0.324], [0.386, 0.250, 0.733], [0.391, 0.750, 0.918], [0.609, 0.250, 0.082], [0.614, 0.750, 0.267], [0.620, 0.750, 0.676], [0.880, 0.250, 0.176], [0.886, 0.250, 0.767], [0.891, 0.750, 0.582], [0.126, 0.250, 0.637], [0.374, 0.750, 0.137], [0.626, 0.250, 0.863], [0.874, 0.750, 0.363]], "formation_enthalpy_0k_ev_per_atom": -0.210, "final_energy_ev_per_atom": -3.621, "space_group": "No. 62", "dos_ef_per_ev_cell": 8.56, "e_above_lowest_polymorph_mev_per_atom": 0.0}